Entry 1:
A geometry-optimized KSiRh2 structure. Source: the Alexandria database, functional PBE-GGA.

Cell lengths 4.5566, 4.5566, 3.1026 Å; angles 90.00, 90.00, 90.00 degrees
Closest atoms and distances in Å follow each position.
Space group P4/mmm (No. 123)
Inequivalent atoms, fractional coordinates:
K  0.0000  0.0000  0.0000  8 Rh 2.76
Si  0.5000  0.5000  0.0000  8 Rh 2.76
Rh  0.0000  0.5000  0.5000  4 K 2.76, 4 Si 2.76

Results
- ΔE_f (raw): 1.7 eV/f.u.

Entry 2:
A geometry-optimized KSi2Rh structure. Source: the Alexandria database, functional PBE-GGA.

Cell lengths 2.9609, 5.6144, 9.7967 Å; angles 90.00, 90.00, 90.00 degrees
Closest atoms and distances in Å follow each position.
Space group Imm2 (No. 44)
Inequivalent atoms, fractional coordinates:
K  0.0000  0.0000  0.0000  2 K 2.96, 4 Si 3.17
Si  0.0000  0.0000  0.4915  2 Rh 2.30, 2 Si 2.50
Si  0.0000  0.5000  0.1966  2 Si 2.50
Rh  0.0000  0.5000  0.8116  2 Si 2.30

Results
- ΔE_f (raw): 1.3 eV/f.u.
- Energy relative to the lowest polymorph listed for this composition: 533 meV per atom

Entry 3:
A geometry-optimized KSi2SnRh structure. Source: the Alexandria database, functional PBE-GGA.

Cell lengths 5.2588, 5.2588, 5.0611 Å; angles 90.00, 90.00, 90.00 degrees
Closest atoms and distances in Å follow each position.
Space group P4/mmm (No. 123)
Inequivalent atoms, fractional coordinates:
K  0.0000  0.0000  0.0000  8 Si 3.65, 4 Rh 3.72
Si  0.0000  0.5000  0.5000  2 Sn 2.63
Sn  0.5000  0.5000  0.5000  2 Rh 2.53, 4 Si 2.63
Rh  0.5000  0.5000  0.0000  2 Sn 2.53

Results
- ΔE_f (raw): 4.2 eV/f.u.

Entry 4:
A geometry-optimized KSm2Rh structure. Source: the Alexandria database, functional PBE-GGA.

Cell lengths 4.1202, 4.1202, 33.5125 Å; angles 90.00, 90.00, 120.00 degrees
Closest atoms and distances in Å follow each position.
Space group R-3m (No. 166, hexagonal axes)
Inequivalent atoms, fractional coordinates:
K  0.0000  0.0000  0.0000  2 Sm 4.12, 6 K 4.12
Sm  0.0000  0.0000  0.1228  3 Rh 2.80
Rh  0.0000  0.0000  0.5000  6 Sm 2.80

Results
- Calculated formation energy: -265 meV/atom

Entry 5:
A geometry-optimized K2Sn2Rh structure. Source: the Alexandria database, functional PBE-GGA.

Cell lengths 7.0048, 7.0048, 6.0142 Å; angles 90.00, 90.00, 90.00 degrees
Closest atoms and distances in Å follow each position.
Space group P4/mbm (No. 127)
Inequivalent atoms, fractional coordinates:
K  0.1795  0.3205  0.0000  6 Sn 3.45-3.80, 5 K 3.56-3.64
Sn  0.1504  0.6504  0.5000  2 Rh 2.67, 1 Sn 2.98
Rh  0.0000  0.0000  0.5000  4 Sn 2.67

Results
- Calculated formation energy: -129 meV/atom
- Energy relative to the lowest polymorph listed for this composition: 0 meV per atom

Entry 6:
A geometry-optimized KSn2Rh3 structure. Source: the Alexandria database, functional PBE-GGA.

Cell lengths 4.0136, 6.0413, 10.4680 Å; angles 90.00, 90.00, 90.00 degrees
Closest atoms and distances in Å follow each position.
Space group Amm2 (No. 38)
Inequivalent atoms, fractional coordinates:
K  0.0000  0.0000  0.0000  6 Sn 3.48-3.50, 12 Rh 3.62-3.64
Sn  0.0000  0.0000  0.3326  6 Rh 2.66
Sn  0.0000  0.0000  0.6659  6 Rh 2.66
Rh  0.5000  0.0000  0.4994  4 Sn 2.66
Rh  0.5000  0.2485  0.7510  4 Sn 2.66

Results
- Calculated formation energy: -237 meV/atom

Entry 7:
A geometry-optimized KSnRh structure. Source: the Alexandria database, functional PBE-GGA.

Cell lengths 4.5218, 4.5218, 8.1765 Å; angles 90.00, 90.00, 90.00 degrees
Closest atoms and distances in Å follow each position.
Space group P4/nmm (No. 129, origin choice 2)
Inequivalent atoms, fractional coordinates:
K  0.2500  0.2500  0.1618  4 Sn 3.49, 4 Rh 3.57
Sn  0.2500  0.2500  0.6686  4 Rh 2.65
Rh  0.2500  0.7500  0.5000  4 Sn 2.65

Results
- Calculated formation energy: -336 meV/atom

Entry 8:
A geometry-optimized K2Sn2Rh structure. Source: the Alexandria database, functional PBE-GGA.

Cell lengths 3.9588, 3.9588, 16.4150 Å; angles 90.00, 90.00, 90.00 degrees
Closest atoms and distances in Å follow each position.
Space group I4/mmm (No. 139)
Inequivalent atoms, fractional coordinates:
K  0.0000  0.5000  0.2500  4 K 2.80
Sn  0.0000  0.0000  0.0831  1 Sn 2.73
Rh  0.0000  0.0000  0.5000  8 Sn 3.11

Results
- Calculated formation energy: 472 meV/atom
- Energy relative to the lowest polymorph listed for this composition: 600 meV per atom

Number 1: DOS at the Fermi energy 0.2884 states/eV per atom. Number 2: DOS at the Fermi energy 0.4375 states/eV per atom. Number 3: DOS at the Fermi energy 0.4123 states/eV per atom. Number 4: DOS at the Fermi energy 0.9690 states/eV per atom. Number 5: DOS at the Fermi energy 0.5332 states/eV per atom. Number 6: DOS at the Fermi energy 0.5492 states/eV per atom. Number 7: DOS at the Fermi energy 0.1491 states/eV per atom. Number 8: DOS at the Fermi energy 0.5755 states/eV per atom.